A plane-wave DFT calculation with PBE was carried out for a geometry-optimized LaNdGd2 structure.

Computed properties:
- M_tot (μB/atom) = 3.70
- energy (eV per formula unit) = -37.78
- relative energy among the computed polymorphs (meV/atom) = 2
- symmetry = P4/mmm
- ΔE_f (eV/atom) = 0.02

a b c (Å): 3.6569 3.6569 10.2668
angles (deg): 90.00 90.00 90.00
Closest atoms and distances in Å follow each position.
Fractional positions:
Gd 0.0000 0.0000 0.7529  4 Nd 3.62, 4 Gd 3.66, 4 La 3.66
Gd 0.0000 0.0000 0.2471  4 Nd 3.62, 4 Gd 3.66, 4 La 3.66
Nd 0.5000 0.5000 0.0000  8 Gd 3.62, 4 Nd 3.66
La 0.5000 0.5000 0.5000  4 La 3.66, 8 Gd 3.66